(1)
! GGA-PBE RbHgTe2Pd, optimized geometry; values from VASP
! D(E_F)	3.69	states/eV per cell
! size of the total moment	0.00	μB per formula unit
&SYSTEM
  ibrav = 0, nat = 5, ntyp = 4
/
ATOMIC_SPECIES
Hg 200.59 Hg.upf
Te 127.60 Te.upf
Pd 106.42 Pd.upf
Rb 85.47 Rb.upf
ATOMIC_POSITIONS angstrom
Hg 0.0000 0.0000 2.6911
Te 2.7388 0.0000 0.0000
Pd 0.0000 0.0000 0.0000
Rb 2.7388 2.7388 2.6911
Te 0.0000 2.7388 0.0000
CELL_PARAMETERS angstrom
5.4775 0.0000 0.0000
0.0000 5.4775 0.0000
0.0000 0.0000 5.3822

(2)
! GGA-PBE RbHgTe2Pd, optimized geometry; values from VASP
! D(E_F)	7.52	states/eV per cell
! size of the total moment	0.00	μB per formula unit
&SYSTEM
  ibrav = 0, nat = 10, ntyp = 4
/
ATOMIC_SPECIES
Te 127.60 Te.upf
Rb 85.47 Rb.upf
Hg 200.59 Hg.upf
Pd 106.42 Pd.upf
ATOMIC_POSITIONS angstrom
Te -0.9686 1.5545 2.0813
Te 0.9819 0.5525 7.4657
Rb 4.0178 -0.7845 6.0042
Hg 3.7630 0.0927 1.6798
Te 4.6478 1.4015 9.3215
Pd 1.5737 2.4422 1.3973
Rb -0.3386 3.7406 5.3987
Te 2.6973 2.4036 3.9371
Pd 5.3360 2.5406 3.0785
Hg 0.0000 0.0000 0.0000
CELL_PARAMETERS angstrom
-0.6165 4.7973 1.1161
-3.2304 -2.0267 6.9270
7.5261 0.1855 3.3597

Most stable = (2)